# 1
Compound: OsC2F4
Source: Alexandria
Functional: PBE
Structure: optimized geometry

Cell: 8.211 8.211 8.211 Å, 152.16 152.16 39.78°
Element x y z (fractional)
Os (0.000, 0.000, 0.000)
C (0.361, 0.361, 0.000)
C (0.639, 0.639, 0.000)
F (0.000, 0.500, 0.500)
F (0.277, 0.277, 0.000)
F (0.500, 0.000, 0.500)
F (0.723, 0.723, 0.000)

## Properties
* electronic total energy: -33.02 eV per cell

=====

# 2
Compound: Os2CF
Source: Alexandria
Functional: PBE
Structure: optimized geometry

Cell: 3.923 3.923 3.923 Å, 60.00 60.00 60.00°
Element x y z (fractional)
Os (0.250, 0.250, 0.250)
Os (0.750, 0.750, 0.750)
C (0.000, 0.000, 0.000)
F (0.500, 0.500, 0.500)

## Properties
* electronic total energy: -28.47 eV per cell

=====

# 3
Compound: OsCF2
Source: Alexandria
Functional: PBE
Structure: optimized geometry

Cell: 3.946 3.946 3.946 Å, 60.00 60.00 60.00°
Element x y z (fractional)
Os (0.000, 0.000, 0.000)
C (0.500, 0.500, 0.500)
F (0.250, 0.250, 0.250)
F (0.750, 0.750, 0.750)

## Properties
* electronic total energy: -18.20 eV per cell

=====

# 4
Compound: OsCF2
Source: Alexandria
Functional: PBE
Structure: optimized geometry

Cell: 9.198 9.198 9.198 Å, 16.29 16.29 16.29°
Element x y z (fractional)
Os (0.000, 0.000, 0.000)
C (0.500, 0.500, 0.500)
F (0.070, 0.070, 0.070)
F (0.930, 0.930, 0.930)

## Properties
* electronic total energy: -21.21 eV per cell

=====

# 5
Compound: OsCF2
Source: Alexandria
Functional: PBE
Structure: optimized geometry

Cell: 10.527 10.527 10.527 Å, 13.93 13.93 13.93°
Element x y z (fractional)
Os (0.000, 0.000, 0.000)
C (0.500, 0.500, 0.500)
F (0.456, 0.456, 0.456)
F (0.544, 0.544, 0.544)

## Properties
* electronic total energy: -20.60 eV per cell

=====

# 6
Compound: POsC2F
Source: Alexandria
Functional: PBE
Structure: optimized geometry

Cell: 3.873 3.873 4.782 Å, 90.00 90.00 90.00°
Element x y z (fractional)
P (0.000, 0.000, 0.000)
Os (0.000, 0.000, 0.500)
C (0.000, 0.500, 0.500)
C (0.500, 0.000, 0.500)
F (0.500, 0.500, 0.000)

## Properties
* electronic total energy: -31.72 eV per cell

=====

# 7
Compound: Os2RhCF
Source: Alexandria
Functional: PBE
Structure: optimized geometry

Cell: 5.060 5.060 3.730 Å, 90.00 90.00 90.00°
Element x y z (fractional)
Os (0.000, 0.500, 0.000)
Os (0.500, 0.000, 0.000)
Rh (0.000, 0.000, 0.000)
C (0.000, 0.000, 0.500)
F (0.500, 0.500, 0.500)

## Properties
* electronic total energy: -29.66 eV per cell

=====

# 8
Compound: Zr2OsCF
Source: Alexandria
Functional: PBE
Structure: optimized geometry

Cell: 4.645 4.645 3.619 Å, 90.00 90.00 90.00°
Element x y z (fractional)
Zr (0.000, 0.500, 0.000)
Zr (0.500, 0.000, 0.000)
Os (0.000, 0.000, 0.500)
C (0.500, 0.500, 0.000)
F (0.500, 0.500, 0.500)

## Properties
* electronic total energy: -38.95 eV per cell

=====

- The highest electronic total energy belongs to which entry?
  number 3

=====

- Look up the electronic total energy of the eighth one.
  -38.95 eV per cell

=====

- electronic total energy of number 8 (Zr2OsCF)?
  -38.95 eV per cell